# Pm2GdPu

A relaxed structure of Pm2GdPu (PBE, Alexandria via LeMat-Bulk).

Properties
Energy of formation   0.149 eV/atom
Crystal system   tetragonal
SG   No. 123
M_tot   13.79 Bohr magnetons per cell

Cell and atoms, written as POSCAR:
```
Pm2GdPu
1.0
5.050 0.000 0.000
0.000 5.050 0.000
0.000 0.000 5.033
Pm Gd Pu
2 1 1
direct
0.000 0.500 0.000
0.500 0.000 0.000
0.000 0.000 0.500
0.500 0.500 0.500
```

# SrMn2Sb

A relaxed structure of SrMn2Sb (PBE, Alexandria via LeMat-Bulk).

Properties
Formation energy (no corrections)   379.5 meV/atom
Crystal system   cubic
SG   No. 216
M_tot   32.91 Bohr magnetons per cell

Cell and atoms, written as POSCAR:
```
SrMn2Sb
1.0
7.228 0.000 0.000
0.000 7.228 0.000
0.000 0.000 7.228
Sr Mn Sb
4 8 4
direct
0.000 0.000 0.000
0.000 0.500 0.500
0.500 0.000 0.500
0.500 0.500 0.000
0.000 0.000 0.500
0.000 0.500 0.000
0.250 0.250 0.250
0.250 0.750 0.750
0.500 0.000 0.000
0.500 0.500 0.500
0.750 0.250 0.750
0.750 0.750 0.250
0.250 0.250 0.750
0.250 0.750 0.250
0.750 0.250 0.250
0.750 0.750 0.750
```

# NaUSb2

A relaxed structure of NaUSb2 (PBE, Alexandria via LeMat-Bulk).

Properties
Formation energy (no corrections)   -157.1 meV/atom
Crystal system   trigonal
SG   No. 166
M_tot   2.97 Bohr magnetons per cell

Cell and atoms, written as POSCAR:
```
NaUSb2
1.0
4.520 0.000 0.000
-2.260 3.914 0.000
0.000 0.000 21.520
Na U Sb
3 3 6
direct
0.000 0.000 0.000
0.333 0.667 0.667
0.667 0.333 0.333
0.000 0.000 0.500
0.333 0.667 0.167
0.667 0.333 0.833
0.000 0.000 0.239
0.000 0.000 0.761
0.333 0.667 0.427
0.333 0.667 0.906
0.667 0.333 0.094
0.667 0.333 0.573
```

# NaAc2PtO6

A relaxed structure of NaAc2PtO6 (PBE, Alexandria via LeMat-Bulk).

Properties
Formation energy (no corrections)   -2167.3 meV/atom
Crystal system   monoclinic
SG   No. 14
M_tot   1.91 Bohr magnetons per cell

Cell and atoms, written as POSCAR:
```
NaAc2PtO6
1.0
5.769 0.000 0.000
0.000 6.109 0.000
-5.735 0.000 8.246
Na Ac Pt O
2 4 2 12
direct
0.000 0.000 0.000
0.000 0.500 0.500
0.235 0.064 0.749
0.235 0.436 0.249
0.765 0.564 0.751
0.765 0.936 0.251
0.500 0.000 0.500
0.500 0.500 0.000
0.167 0.180 0.455
0.167 0.320 0.955
0.274 0.721 0.448
0.274 0.779 0.948
0.359 0.034 0.266
0.359 0.466 0.766
0.641 0.534 0.234
0.641 0.966 0.734
0.726 0.221 0.052
0.726 0.279 0.552
0.833 0.680 0.045
0.833 0.820 0.545
```

# LiDy2Al8

A relaxed structure of LiDy2Al8 (PBE, Alexandria via LeMat-Bulk).

Properties
Energy of formation   -0.273 eV/atom
Crystal system   tetragonal
SG   No. 123
M_tot   0.00 Bohr magnetons per cell

Cell and atoms, written as POSCAR:
```
LiDy2Al8
1.0
4.319 0.000 0.000
0.000 4.319 0.000
0.000 0.000 11.148
Li Dy Al
1 2 8
direct
0.000 0.000 0.000
0.000 0.000 0.313
0.000 0.000 0.687
0.000 0.500 0.125
0.000 0.500 0.500
0.000 0.500 0.875
0.500 0.000 0.125
0.500 0.000 0.500
0.500 0.000 0.875
0.500 0.500 0.304
0.500 0.500 0.696
```

# LaSmCdPb

A relaxed structure of LaSmCdPb (PBE, Alexandria via LeMat-Bulk).

Properties
Energy of formation   -0.449 eV/atom
Crystal system   cubic
SG   No. 216
M_tot   0.00 Bohr magnetons per cell

Cell and atoms, written as POSCAR:
```
LaSmCdPb
1.0
7.818 0.000 0.000
0.000 7.818 0.000
0.000 0.000 7.818
La Sm Cd Pb
4 4 4 4
direct
0.000 0.000 0.000
0.000 0.500 0.500
0.500 0.000 0.500
0.500 0.500 0.000
0.000 0.000 0.500
0.000 0.500 0.000
0.500 0.000 0.000
0.500 0.500 0.500
0.250 0.250 0.750
0.250 0.750 0.250
0.750 0.250 0.250
0.750 0.750 0.750
0.250 0.250 0.250
0.250 0.750 0.750
0.750 0.250 0.750
0.750 0.750 0.250
```

# Er12Th5Nb3

A relaxed structure of Er12Th5Nb3 (PBE, Alexandria via LeMat-Bulk).

Properties
Energy of formation   1.265 eV/atom
Crystal system   cubic
SG   No. 230
M_tot   0.01 Bohr magnetons per cell

Cell and atoms, written as POSCAR:
```
Er12Th5Nb3
1.0
-8.893 8.893 8.893
8.893 -8.893 8.893
8.893 8.893 -8.893
Er Th Nb
48 20 12
direct
0.052 0.633 0.390
0.052 0.919 0.662
0.081 0.244 0.133
0.081 0.338 0.948
0.110 0.744 0.662
0.110 0.867 0.448
0.133 0.081 0.244
0.133 0.552 0.890
0.162 0.244 0.610
0.162 0.419 0.552
0.244 0.133 0.081
0.244 0.610 0.162
0.256 0.338 0.890
0.256 0.419 0.367
0.338 0.890 0.256
0.338 0.948 0.081
0.367 0.256 0.419
0.367 0.610 0.948
0.390 0.052 0.633
0.390 0.838 0.756
0.419 0.367 0.256
0.419 0.552 0.162
0.448 0.110 0.867
0.448 0.838 0.581
0.552 0.162 0.419
0.552 0.890 0.133
0.581 0.448 0.838
0.581 0.633 0.744
0.610 0.162 0.244
0.610 0.948 0.367
0.633 0.390 0.052
0.633 0.744 0.581
0.662 0.052 0.919
0.662 0.110 0.744
0.744 0.581 0.633
0.744 0.662 0.110
0.756 0.390 0.838
0.756 0.867 0.919
0.838 0.581 0.448
0.838 0.756 0.390
0.867 0.448 0.110
0.867 0.919 0.756
0.890 0.133 0.552
0.890 0.256 0.338
0.919 0.662 0.052
0.919 0.756 0.867
0.948 0.081 0.338
0.948 0.367 0.610
0.000 0.000 0.000
0.000 0.000 0.500
0.000 0.500 0.000
0.000 0.500 0.500
0.125 0.750 0.875
0.125 0.875 0.250
0.250 0.125 0.875
0.250 0.625 0.375
0.375 0.250 0.625
0.375 0.625 0.750
0.500 0.000 0.000
0.500 0.000 0.500
0.500 0.500 0.000
0.500 0.500 0.500
0.625 0.375 0.250
0.625 0.750 0.375
0.750 0.375 0.625
0.750 0.875 0.125
0.875 0.125 0.750
0.875 0.250 0.125
0.125 0.250 0.375
0.125 0.375 0.750
0.250 0.375 0.125
0.250 0.875 0.625
0.375 0.125 0.250
0.375 0.750 0.125
0.625 0.250 0.875
0.625 0.875 0.750
0.750 0.125 0.375
0.750 0.625 0.875
0.875 0.625 0.250
0.875 0.750 0.625
```

# TlCo2Pt

A relaxed structure of TlCo2Pt (PBE, Alexandria via LeMat-Bulk).

Properties
Energy of formation   0.423 eV/atom
Crystal system   trigonal
SG   No. 160
M_tot   11.07 Bohr magnetons per cell

Cell and atoms, written as POSCAR:
```
TlCo2Pt
1.0
2.933 0.000 0.000
-1.466 2.540 0.000
0.000 0.000 25.572
Tl Co Pt
3 6 3
direct
0.000 0.000 0.000
0.333 0.667 0.667
0.667 0.333 0.333
0.000 0.000 0.490
0.000 0.000 0.758
0.333 0.667 0.157
0.333 0.667 0.425
0.667 0.333 0.091
0.667 0.333 0.823
0.000 0.000 0.236
0.333 0.667 0.903
0.667 0.333 0.570
```

# BeAlPb2

A relaxed structure of BeAlPb2 (PBE, Alexandria via LeMat-Bulk).

Properties
Energy of formation   0.568 eV/atom
Crystal system   orthorhombic
SG   No. 65
M_tot   0.00 Bohr magnetons per cell

Cell and atoms, written as POSCAR:
```
BeAlPb2
1.0
7.125 0.000 0.000
0.000 7.133 0.000
0.000 0.000 3.647
Be Al Pb
2 2 4
direct
0.000 0.000 0.000
0.500 0.500 0.000
0.000 0.500 0.000
0.500 0.000 0.000
0.250 0.250 0.500
0.250 0.750 0.500
0.750 0.250 0.500
0.750 0.750 0.500
```

# NbNiB

A relaxed structure of NbNiB (PBE, Alexandria via LeMat-Bulk).

Properties
Energy of formation   -0.282 eV/atom
Crystal system   triclinic
SG   No. 1
M_tot   0.00 Bohr magnetons per cell

Cell and atoms, written as POSCAR:
```
NbNiB
1.0
3.869 0.000 0.000
-1.805 4.288 0.000
-1.015 -1.544 4.360
Nb Ni B
2 2 2
direct
0.000 0.000 0.000
0.123 0.449 0.665
0.375 0.003 0.561
0.653 0.651 0.336
0.104 0.581 0.194
0.650 0.373 0.941
```

> Number 8 is which compound?

TlCo2Pt